## ZnCoAgF6 (PBE with a Hubbard U)

Data for ZnCoAgF6 after structural relaxation.

Results
For the uncorrected energy, the calculation gives -4.089 eV per atom. The total magnetic moment comes out at 0.000 μB/atom.

Cell lengths 5.2550, 5.2550, 10.3600 Å; angles 90.00, 90.00, 120.00 degrees
Closest atoms and distances in Å follow each position.
Atoms (fractional coordinates):
1 Zn 0.3333 0.6667 0.2500  6 F 2.07
2 Zn 0.6667 0.3333 0.7500  6 F 2.07
3 Co 0.3333 0.6667 0.7500  6 F 1.88
4 Co 0.6667 0.3333 0.2500  6 F 1.88
5 Ag 0.0000 0.0000 0.0000  6 F 2.47
6 Ag 0.0000 0.0000 0.5000  6 F 2.47
7 F 0.0277 0.3805 0.6485  1 Co 1.88, 1 Zn 2.07
8 F 0.0277 0.6472 0.8515  1 Co 1.88, 1 Zn 2.07
9 F 0.3528 0.3805 0.8515  1 Co 1.88, 1 Zn 2.07
10 F 0.3528 0.9723 0.6485  1 Co 1.88, 1 Zn 2.07
11 F 0.3805 0.0277 0.1485  1 Co 1.88, 1 Zn 2.07
12 F 0.3805 0.3528 0.3515  1 Co 1.88, 1 Zn 2.07
13 F 0.6195 0.6472 0.6485  1 Co 1.88, 1 Zn 2.07
14 F 0.6195 0.9723 0.8515  1 Co 1.88, 1 Zn 2.07
15 F 0.6472 0.0277 0.3515  1 Co 1.88, 1 Zn 2.07
16 F 0.6472 0.6195 0.1485  1 Co 1.88, 1 Zn 2.07
17 F 0.9723 0.3528 0.1485  1 Co 1.88, 1 Zn 2.07
18 F 0.9723 0.6195 0.3515  1 Co 1.88, 1 Zn 2.07